Entry 1:
An optimized crystal structure of ErLuHgPt. Source: Alexandria via LeMat-Bulk, functional PBE.

CIF file:
```
data_ErLuHgPt
_cell_length_a 5.020
_cell_length_b 5.020
_cell_length_c 5.020
_cell_angle_alpha 60.00
_cell_angle_beta 60.00
_cell_angle_gamma 60.00
_symmetry_space_group_name_H-M 'P 1'
_symmetry_Int_Tables_number 1
_symmetry_space_group_name_Hall 'P 1'
loop_
_atom_site_label
_atom_site_fract_x
_atom_site_fract_y
_atom_site_fract_z
Er1 0.000 0.000 0.000
Lu1 0.500 0.500 0.500
Hg1 0.750 0.750 0.750
Pt1 0.250 0.250 0.250
```

Values from the calculation:
Spin magnetization   0.000 μB per formula unit
Energy relative to the elements   -855.4 meV per atom
Symmetry   F-43m (216)

=====

Entry 2:
An optimized crystal structure of PrErPt. Source: Alexandria via LeMat-Bulk, functional PBE.

CIF file:
```
data_PrErPt
_cell_length_a 4.198
_cell_length_b 4.198
_cell_length_c 11.792
_cell_angle_alpha 90.00
_cell_angle_beta 90.00
_cell_angle_gamma 120.00
_symmetry_space_group_name_H-M 'P 1'
_symmetry_Int_Tables_number 1
_symmetry_space_group_name_Hall 'P 1'
loop_
_atom_site_label
_atom_site_fract_x
_atom_site_fract_y
_atom_site_fract_z
Pr1 0.000 0.000 0.235
Pr2 0.000 0.000 0.765
Er1 0.333 0.667 0.000
Er2 0.667 0.333 0.500
Pt1 0.333 0.667 0.373
Pt2 0.333 0.667 0.627
```

Values from the calculation:
Spin magnetization   0.000 μB per formula unit
Energy relative to the elements   -665.2 meV per atom
Energy relative to the lowest polymorph listed for this composition   15.3 kJ per mole of atoms
Symmetry   P-6m2 (187)

=====

Entry 3:
An optimized crystal structure of RbSbRhI2. Source: Alexandria via LeMat-Bulk, functional PBE.

CIF file:
```
data_RbSbRhI2
_cell_length_a 5.903
_cell_length_b 5.903
_cell_length_c 4.991
_cell_angle_alpha 90.00
_cell_angle_beta 90.00
_cell_angle_gamma 90.00
_symmetry_space_group_name_H-M 'P 1'
_symmetry_Int_Tables_number 1
_symmetry_space_group_name_Hall 'P 1'
loop_
_atom_site_label
_atom_site_fract_x
_atom_site_fract_y
_atom_site_fract_z
Rb1 0.000 0.000 0.000
Sb1 0.500 0.500 0.000
Rh1 0.500 0.500 0.500
I1 0.000 0.500 0.500
I2 0.500 0.000 0.500
```

Values from the calculation:
Spin magnetization   0.000 μB per formula unit
Energy relative to the lowest polymorph listed for this composition   0.0 kJ per mole of atoms
Energy relative to the elements, uncorrected   -0.372 eV/atom
Symmetry   P4/mmm (123)